1.
# NdPu2TcC4 PBE-GGA optimized geometry
# SG: Cmcm (63)
# Mass density: 10150 kg/m³
# Uncorrected energy: -0.7360 Ry per atom
# Density of states at the Fermi level: 27.382 states/eV/cell
# E_form: 0.58 eV/f.u.
data_NdPu2TcC4
_space_group_name_H-M_alt 'P 1'
_space_group_IT_number 1
_cell_length_a 3.5367
_cell_length_b 6.1691
_cell_length_c 12.1832
_cell_angle_alpha 90.00
_cell_angle_beta 90.00
_cell_angle_gamma 106.66
loop_
_space_group_symop_operation_xyz
'x,y,z'
loop_
_atom_site_label
_atom_site_type_symbol
_atom_site_fract_x
_atom_site_fract_y
_atom_site_fract_z
C1 C 0.7420 0.4840 0.8754
Tc1 Tc 0.8392 0.6783 0.7500
C2 C 0.2580 0.5160 0.3754
C3 C 0.7420 0.4840 0.6246
C4 C 0.5738 0.1477 0.2500
Pu1 Pu 0.6294 0.2588 0.4602
Nd1 Nd 0.1028 0.2056 0.7500
Pu2 Pu 0.3706 0.7412 0.9602
Pu3 Pu 0.3706 0.7412 0.5398
C5 C 0.4262 0.8523 0.7500
Tc2 Tc 0.1608 0.3217 0.2500
Nd2 Nd 0.8972 0.7944 0.2500
Pu4 Pu 0.6294 0.2588 0.0398
C6 C 0.0000 0.0000 0.0000
C7 C 0.0000 0.0000 0.5000
C8 C 0.2580 0.5160 0.1246

2.
# TbNdDyTm PBE-GGA optimized geometry
# SG: Pmm2 (25)
# Mass density: 8091 kg/m³
# Uncorrected energy: -0.3251 Ry per atom
# Density of states at the Fermi level: 7.712 states/eV/cell
# E_form: 0.78 eV/f.u.
data_TbNdDyTm
_space_group_name_H-M_alt 'P 1'
_space_group_IT_number 1
_cell_length_a 3.4350
_cell_length_b 6.7212
_cell_length_c 5.6412
_cell_angle_alpha 90.02
_cell_angle_beta 90.00
_cell_angle_gamma 90.00
loop_
_space_group_symop_operation_xyz
'x,y,z'
loop_
_atom_site_label
_atom_site_type_symbol
_atom_site_fract_x
_atom_site_fract_y
_atom_site_fract_z
Tb1 Tb 0.5000 0.6882 0.0164
Dy1 Dy 0.0000 0.1940 0.0163
Tm1 Tm 0.0000 0.4556 0.5165
Nd1 Nd 0.0000 0.9426 0.5160

3.
# TaFeAg PBE-GGA optimized geometry
# SG: F-43m (216)
# Mass density: 10988 kg/m³
# Uncorrected energy: -0.5161 Ry per atom
# Density of states at the Fermi level: 1.127 states/eV/cell
# E_form: 2.10 eV/f.u.
data_TaFeAg
_space_group_name_H-M_alt 'P 1'
_space_group_IT_number 1
_cell_length_a 4.1920
_cell_length_b 4.1920
_cell_length_c 4.1920
_cell_angle_alpha 60.00
_cell_angle_beta 60.00
_cell_angle_gamma 60.00
loop_
_space_group_symop_operation_xyz
'x,y,z'
loop_
_atom_site_label
_atom_site_type_symbol
_atom_site_fract_x
_atom_site_fract_y
_atom_site_fract_z
Fe1 Fe 0.7500 0.7500 0.7500
Ag1 Ag 0.5000 0.5000 0.5000
Ta1 Ta 0.0000 0.0000 0.0000

4.
# Dy3Tm2Cd PBE-GGA optimized geometry
# SG: Imm2 (44)
# Mass density: 8258 kg/m³
# Uncorrected energy: -0.2642 Ry per atom
# Density of states at the Fermi level: 9.861 states/eV/cell
# E_form: 2.10 eV/f.u.
data_Dy3Tm2Cd
_space_group_name_H-M_alt 'P 1'
_space_group_IT_number 1
_cell_length_a 3.3408
_cell_length_b 11.5023
_cell_length_c 7.7426
_cell_angle_alpha 137.97
_cell_angle_beta 102.46
_cell_angle_gamma 90.00
loop_
_space_group_symop_operation_xyz
'x,y,z'
loop_
_atom_site_label
_atom_site_type_symbol
_atom_site_fract_x
_atom_site_fract_y
_atom_site_fract_z
Dy1 Dy 0.0000 0.0230 0.0000
Cd1 Cd 0.5000 0.2563 0.0000
Dy2 Dy 0.3382 0.3299 0.6764
Dy3 Dy 0.6618 0.6535 0.3236
Tm1 Tm 0.1724 0.9126 0.3449
Tm2 Tm 0.8276 0.5677 0.6551

5.
# KNaCuF4 PBE-GGA optimized geometry
# Energy relative to the elements, uncorrected: -2231 meV/atom
# SG: I4mm (107)
# Mass density: 3259 kg/m³
# Uncorrected energy: -0.3109 Ry per atom
# Density of states at the Fermi level: 0.374 states/eV/cell
data_KNaCuF4
_space_group_name_H-M_alt 'P 1'
_space_group_IT_number 1
_cell_length_a 4.0679
_cell_length_b 4.0679
_cell_length_c 6.8431
_cell_angle_alpha 107.29
_cell_angle_beta 107.29
_cell_angle_gamma 90.00
loop_
_space_group_symop_operation_xyz
'x,y,z'
loop_
_atom_site_label
_atom_site_type_symbol
_atom_site_fract_x
_atom_site_fract_y
_atom_site_fract_z
F1 F 0.1645 0.1645 0.3290
F2 F 0.4936 0.9936 0.9872
F3 F 0.9936 0.4936 0.9872
Cu1 Cu 0.0006 0.0006 0.0011
K1 K 0.6446 0.6446 0.2892
Na1 Na 0.3603 0.3603 0.7206
F4 F 0.8428 0.8428 0.6856

6.
# Y2Ge4Mo3 PBE-GGA optimized geometry
# SG: P2_1/c (14)
# Mass density: 7767 kg/m³
# Uncorrected energy: -0.5611 Ry per atom
# Density of states at the Fermi level: 8.787 states/eV/cell
# E_form: -4.82 eV/f.u.
data_Y2Ge4Mo3
_space_group_name_H-M_alt 'P 1'
_space_group_IT_number 1
_cell_length_a 6.9271
_cell_length_b 6.9989
_cell_length_c 7.0666
_cell_angle_alpha 90.00
_cell_angle_beta 90.00
_cell_angle_gamma 109.30
loop_
_space_group_symop_operation_xyz
'x,y,z'
loop_
_atom_site_label
_atom_site_type_symbol
_atom_site_fract_x
_atom_site_fract_y
_atom_site_fract_z
Mo1 Mo 0.7523 0.7507 0.3426
Y1 Y 0.9434 0.8096 0.8281
Mo2 Mo 0.5000 0.5000 0.0000
Ge1 Ge 0.8591 0.0922 0.5473
Ge2 Ge 0.8677 0.5049 0.1369
Y2 Y 0.5566 0.1904 0.3281
Ge3 Ge 0.6323 0.4951 0.6369
Mo3 Mo 0.2477 0.2493 0.6574
Ge4 Ge 0.1323 0.4951 0.8631
Mo4 Mo 0.7477 0.2493 0.8426
Mo5 Mo 0.0000 0.5000 0.5000
Ge5 Ge 0.3591 0.0922 0.9527
Y3 Y 0.0566 0.1904 0.1719
Y4 Y 0.4434 0.8096 0.6719
Ge6 Ge 0.6409 0.9078 0.0473
Mo6 Mo 0.2523 0.7507 0.1574
Ge7 Ge 0.1409 0.9078 0.4527
Ge8 Ge 0.3677 0.5049 0.3631